# 1
## SrPr5In6 (PBE-GGA)

Data for a geometry-optimized SrPr5In6 structure.

Output
Its space group is Immm. The density of states at the Fermi level comes out at 8.04 states/eV/cell. As for the formation energy: -5.64 eV/f.u.

a b c (Å): 9.6344 9.6344 9.6344
angles (deg): 146.48 132.02 59.79
With the nearest neighbours (Å) after each atom.
Fractional coordinates of all 12 atoms:
1 Sr 0.0000 0.0000 0.0000  8 In 3.46, 4 Pr 3.85
2 Pr 0.1598 0.6598 0.5000  8 In 3.37-3.44
3 Pr 0.3297 0.3297 0.0000  8 In 3.35-3.40
4 Pr 0.5000 0.0000 0.5000  8 In 3.34-3.41
5 Pr 0.6703 0.6703 0.0000  8 In 3.35-3.40
6 Pr 0.8402 0.3402 0.5000  8 In 3.37-3.44
7 In 0.0873 0.8312 0.2560  7 Pr 3.35-3.44, 1 Sr 3.46
8 In 0.2624 0.5000 0.7624  6 Pr 3.34-3.40, 2 Sr 3.46, 1 In 3.72
9 In 0.4248 0.1688 0.2560  7 Pr 3.35-3.44, 1 Sr 3.46
10 In 0.5752 0.8312 0.7440  7 Pr 3.35-3.44, 1 Sr 3.46
11 In 0.7376 0.5000 0.2376  6 Pr 3.34-3.40, 2 Sr 3.46, 1 In 3.72
12 In 0.9127 0.1688 0.7440  7 Pr 3.35-3.44, 1 Sr 3.46

---

# 2
## TlGaHg (PBE-GGA)

Data for a geometry-optimized TlGaHg structure.

Output
Its space group is P-1. The density of states at the Fermi level comes out at 2.18 states/eV/cell. As for the formation energy: 0.16 eV/f.u.

a b c (Å): 3.4930 6.0424 8.3212
angles (deg): 69.63 77.90 74.19
With the nearest neighbours (Å) after each atom.
Fractional coordinates of all 6 atoms:
1 Tl 0.2062 0.4007 0.1874  3 Ga 3.20-3.46, 3 Hg 3.27-3.34, 4 Tl 3.38-3.49
2 Tl 0.7938 0.5993 0.8126  3 Ga 3.20-3.46, 3 Hg 3.27-3.34, 4 Tl 3.38-3.49
3 Ga 0.1568 0.0708 0.6211  3 Hg 2.92-2.99, 2 Ga 2.93-2.94, 2 Tl 3.20-3.24
4 Ga 0.8432 0.9292 0.3789  3 Hg 2.92-2.99, 2 Ga 2.93-2.94, 2 Tl 3.20-3.24
5 Hg 0.0000 0.0000 0.0000  2 Ga 2.98
6 Hg 0.5000 0.5000 0.5000  4 Ga 2.92-2.99, 2 Tl 3.27

---

# 3
## Be5Pd4Au (PBE-GGA)

Data for a geometry-optimized Be5Pd4Au structure.

Output
Its space group is P4/mmm. The density of states at the Fermi level comes out at 3.72 states/eV/cell. As for the formation energy: -4.86 eV/f.u.

a b c (Å): 2.8379 2.8379 14.5594
angles (deg): 90.00 90.00 90.00
With the nearest neighbours (Å) after each atom.
Fractional coordinates of all 10 atoms:
1 Be 0.0000 0.0000 0.0000  8 Pd 2.46
2 Be 0.0000 0.0000 0.1956  8 Pd 2.46-2.47
3 Be 0.0000 0.0000 0.3880  4 Pd 2.44, 4 Au 2.59
4 Be 0.0000 0.0000 0.6120  4 Pd 2.44, 4 Au 2.59
5 Be 0.0000 0.0000 0.8044  8 Pd 2.46-2.47
6 Pd 0.5000 0.5000 0.0973  8 Be 2.46-2.47
7 Pd 0.5000 0.5000 0.2928  8 Be 2.44-2.46
8 Pd 0.5000 0.5000 0.7072  8 Be 2.44-2.46
9 Pd 0.5000 0.5000 0.9027  8 Be 2.46-2.47
10 Au 0.5000 0.5000 0.5000  8 Be 2.59, 4 Au 2.84

---

# 4
## KCd2 (PBE-GGA)

Data for a geometry-optimized KCd2 structure.

Output
Its space group is P6_3/mmc. The density of states at the Fermi level comes out at 3.27 states/eV/cell. As for the formation energy: -0.31 eV/f.u.

a b c (Å): 6.3550 6.3550 10.4216
angles (deg): 90.00 90.00 120.00
With the nearest neighbours (Å) after each atom.
Fractional coordinates of all 12 atoms:
1 K 0.3333 0.6667 0.0607  12 Cd 3.71-3.74, 4 K 3.88-3.95
2 K 0.3333 0.6667 0.4393  12 Cd 3.71-3.74, 4 K 3.88-3.95
3 K 0.6667 0.3333 0.5607  12 Cd 3.71-3.74, 4 K 3.88-3.95
4 K 0.6667 0.3333 0.9393  12 Cd 3.71-3.74, 4 K 3.88-3.95
5 Cd 0.0000 0.0000 0.0000  6 Cd 3.20
6 Cd 0.0000 0.0000 0.5000  6 Cd 3.20
7 Cd 0.1685 0.3369 0.7500  6 Cd 3.14-3.21
8 Cd 0.1685 0.8315 0.7500  6 Cd 3.14-3.21
9 Cd 0.3369 0.1685 0.2500  6 Cd 3.14-3.21
10 Cd 0.6631 0.8315 0.7500  6 Cd 3.14-3.21
11 Cd 0.8315 0.1685 0.2500  6 Cd 3.14-3.21
12 Cd 0.8315 0.6631 0.2500  6 Cd 3.14-3.21

---

# 5
## AlTeH6C2Br3 (PBE-GGA)

Data for a geometry-optimized AlTeH6C2Br3 structure.

Output
Its space group is Pbcm. The calculation puts the total energy at -4.33 eV per atom. The density of states at the Fermi level comes out at 0.00 states/eV/cell.

a b c (Å): 7.0174 14.1012 11.3541
angles (deg): 90.00 90.00 90.00
With the nearest neighbours (Å) after each atom.
Fractional coordinates of all 52 atoms:
1 Al 0.0528 0.0626 0.2500  3 Br 2.31-2.32
2 Al 0.0528 0.4374 0.7500  3 Br 2.31-2.32
3 Al 0.9472 0.5626 0.2500  3 Br 2.31-2.32
4 Al 0.9472 0.9374 0.7500  3 Br 2.31-2.32
5 Te 0.1198 0.6291 0.7500  2 C 2.15
6 Te 0.1198 0.8709 0.2500  2 C 2.15
7 Te 0.8802 0.1291 0.7500  2 C 2.15
8 Te 0.8802 0.3709 0.2500  2 C 2.15
9 H 0.2523 0.6246 0.5278  1 C 1.09
10 H 0.2523 0.6246 0.9722  1 C 1.09
11 H 0.2523 0.8754 0.0278  1 C 1.09
12 H 0.2523 0.8754 0.4722  1 C 1.09
13 H 0.3933 0.7054 0.6154  1 C 1.10
14 H 0.3933 0.7054 0.8846  1 C 1.10
15 H 0.3933 0.7946 0.1154  1 C 1.10
16 H 0.3933 0.7946 0.3846  1 C 1.10
17 H 0.4332 0.5787 0.6250  1 C 1.09
18 H 0.4332 0.5787 0.8750  1 C 1.09
19 H 0.4332 0.9213 0.1250  1 C 1.09
20 H 0.4332 0.9213 0.3750  1 C 1.09
21 H 0.5668 0.0787 0.6250  1 C 1.09
22 H 0.5668 0.0787 0.8750  1 C 1.09
23 H 0.5668 0.4213 0.1250  1 C 1.09
24 H 0.5668 0.4213 0.3750  1 C 1.09
25 H 0.6067 0.2054 0.6154  1 C 1.10
26 H 0.6067 0.2054 0.8846  1 C 1.10
27 H 0.6067 0.2946 0.1154  1 C 1.10
28 H 0.6067 0.2946 0.3846  1 C 1.10
29 H 0.7477 0.1246 0.5278  1 C 1.09
30 H 0.7477 0.1246 0.9722  1 C 1.09
31 H 0.7477 0.3754 0.0278  1 C 1.09
32 H 0.7477 0.3754 0.4722  1 C 1.09
33 C 0.3282 0.6349 0.6111  3 H 1.09-1.10
34 C 0.3282 0.6349 0.8889  3 H 1.09-1.10
35 C 0.3282 0.8651 0.1111  3 H 1.09-1.10
36 C 0.3282 0.8651 0.3889  3 H 1.09-1.10
37 C 0.6718 0.1349 0.6111  3 H 1.09-1.10
38 C 0.6718 0.1349 0.8889  3 H 1.09-1.10
39 C 0.6718 0.3651 0.1111  3 H 1.09-1.10
40 C 0.6718 0.3651 0.3889  3 H 1.09-1.10
41 Br 0.1855 0.1227 0.0798  1 Al 2.31
42 Br 0.1855 0.1227 0.4202  1 Al 2.31
43 Br 0.1855 0.3773 0.5798  1 Al 2.31
44 Br 0.1855 0.3773 0.9202  1 Al 2.31
45 Br 0.2760 0.5763 0.2500  1 Al 2.32
46 Br 0.2760 0.9237 0.7500  1 Al 2.32
47 Br 0.7240 0.0763 0.2500  1 Al 2.32
48 Br 0.7240 0.4237 0.7500  1 Al 2.32
49 Br 0.8145 0.6227 0.0798  1 Al 2.31
50 Br 0.8145 0.6227 0.4202  1 Al 2.31
51 Br 0.8145 0.8773 0.5798  1 Al 2.31
52 Br 0.8145 0.8773 0.9202  1 Al 2.31

---

# 6
## La3Sn2 (PBE-GGA)

Data for a geometry-optimized La3Sn2 structure.

Output
Its space group is Pnma. The density of states at the Fermi level comes out at 17.09 states/eV/cell. As for the formation energy: -3.24 eV/f.u.

a b c (Å): 12.7700 4.6213 12.0595
angles (deg): 90.00 90.00 90.00
With the nearest neighbours (Å) after each atom.
Fractional coordinates of all 20 atoms:
1 La 0.0452 0.2500 0.1304  5 Sn 3.24-3.38
2 La 0.1265 0.7500 0.5515  5 Sn 3.27-3.36, 1 La 3.55
3 La 0.2325 0.2500 0.7978  4 Sn 3.27-3.41, 1 La 3.55
4 La 0.2675 0.7500 0.2978  4 Sn 3.27-3.41, 1 La 3.55
5 La 0.3735 0.2500 0.0515  5 Sn 3.27-3.36, 1 La 3.55
6 La 0.4548 0.7500 0.6304  5 Sn 3.24-3.38
7 La 0.5452 0.2500 0.3696  5 Sn 3.24-3.38
8 La 0.6265 0.7500 0.9485  5 Sn 3.27-3.36, 1 La 3.55
9 La 0.7325 0.2500 0.7022  4 Sn 3.27-3.41, 1 La 3.55
10 La 0.7675 0.7500 0.2022  4 Sn 3.27-3.41, 1 La 3.55
11 La 0.8735 0.2500 0.4485  5 Sn 3.27-3.36, 1 La 3.55
12 La 0.9548 0.7500 0.8696  5 Sn 3.24-3.38
13 Sn 0.0011 0.7500 0.3129  7 La 3.24-3.41
14 Sn 0.1885 0.7500 0.0011  8 La 3.34-3.72
15 Sn 0.3115 0.2500 0.5011  8 La 3.34-3.72
16 Sn 0.4989 0.2500 0.8129  7 La 3.24-3.41
17 Sn 0.5011 0.7500 0.1871  7 La 3.24-3.41
18 Sn 0.6885 0.7500 0.4989  8 La 3.34-3.72
19 Sn 0.8115 0.2500 0.9989  8 La 3.34-3.72
20 Sn 0.9989 0.2500 0.6871  7 La 3.24-3.41

---

# 7
## Cu2PdRu2 (PBE-GGA)

Data for a geometry-optimized Cu2PdRu2 structure.

Output
Its space group is P4/mbm. The density of states at the Fermi level comes out at 9.97 states/eV/cell. As for the formation energy: 2.34 eV/f.u.

a b c (Å): 7.2330 7.2330 2.7325
angles (deg): 90.00 90.00 90.00
With the nearest neighbours (Å) after each atom.
Fractional coordinates of all 10 atoms:
1 Cu 0.1721 0.3279 0.0000  6 Ru 2.50-2.56, 2 Pd 2.68, 2 Cu 2.73
2 Cu 0.3279 0.8279 0.0000  6 Ru 2.50-2.56, 2 Pd 2.68, 2 Cu 2.73
3 Cu 0.6721 0.1721 0.0000  6 Ru 2.50-2.56, 2 Pd 2.68, 2 Cu 2.73
4 Cu 0.8279 0.6721 0.0000  6 Ru 2.50-2.56, 2 Pd 2.68, 2 Cu 2.73
5 Pd 0.0000 0.0000 0.0000  4 Cu 2.68, 2 Pd 2.73
6 Pd 0.5000 0.5000 0.0000  4 Cu 2.68, 2 Pd 2.73
7 Ru 0.1236 0.6236 0.5000  6 Cu 2.50-2.56, 3 Ru 2.53-2.73
8 Ru 0.3764 0.1236 0.5000  6 Cu 2.50-2.56, 3 Ru 2.53-2.73
9 Ru 0.6236 0.8764 0.5000  6 Cu 2.50-2.56, 3 Ru 2.53-2.73
10 Ru 0.8764 0.3764 0.5000  6 Cu 2.50-2.56, 3 Ru 2.53-2.73

---

# 8
## LuGaAu (PBE-GGA)

Data for a geometry-optimized LuGaAu structure.

Output
Its space group is I4mm. The density of states at the Fermi level comes out at 2.05 states/eV/cell. As for the formation energy: -1.66 eV/f.u.

a b c (Å): 5.7295 5.7295 5.7295
angles (deg): 145.16 145.16 50.10
With the nearest neighbours (Å) after each atom.
Fractional coordinates of all 3 atoms:
1 Lu 0.0000 0.0000 0.0000  4 Au 3.01, 5 Ga 3.08-3.29
2 Ga 0.6832 0.6832 0.0000  4 Au 2.86, 4 Lu 3.08
3 Au 0.3285 0.3285 0.0000  4 Ga 2.86, 4 Lu 3.01

---

# 9
## LiZrCl (PBE-GGA)

Data for a geometry-optimized LiZrCl structure.

Output
For the energy above the lowest structure with this stoichiometry, the calculation gives 148 kJ/mol of formula units. The formation energy from raw total energies is -0.171 eV per atom. Its space group is P3m1. The density of states at the Fermi level comes out at 3.03 states/eV/cell.

a b c (Å): 4.5197 4.5197 3.3260
angles (deg): 90.00 90.00 120.00
With the nearest neighbours (Å) after each atom.
Fractional coordinates of all 3 atoms:
1 Li 0.0000 0.0000 0.0000  6 Cl 3.00-3.19, 6 Zr 3.07-3.11, 2 Li 3.33
2 Zr 0.6667 0.3333 0.5113  3 Cl 2.61
3 Cl 0.3333 0.6667 0.5537  3 Zr 2.61

---

# 10
## Tb3Pm6Ho (PBE-GGA)

Data for a geometry-optimized Tb3Pm6Ho structure.

Output
For the energy above the lowest structure with this stoichiometry, the calculation gives 0 kJ/mol of formula units. Its space group is Cmc2_1. The density of states at the Fermi level comes out at 33.22 states/eV/cell. As for the formation energy: 1.23 eV/f.u.

a b c (Å): 11.7465 11.7465 6.4275
angles (deg): 90.00 90.00 130.67
With the nearest neighbours (Å) after each atom.
Fractional coordinates of all 20 atoms:
1 Tb 0.0795 0.9205 0.5000  3 Pm 3.17-3.48, 2 Tb 3.46
2 Tb 0.2065 0.4583 0.9023  2 Tb 3.29-3.46, 5 Pm 3.31-3.62, 1 Ho 3.53
3 Tb 0.4583 0.2065 0.4023  2 Tb 3.29-3.46, 5 Pm 3.31-3.62, 1 Ho 3.53
4 Tb 0.5417 0.7935 0.9023  2 Tb 3.29-3.46, 5 Pm 3.31-3.62, 1 Ho 3.53
5 Tb 0.7935 0.5417 0.4023  2 Tb 3.29-3.46, 5 Pm 3.31-3.62, 1 Ho 3.53
6 Tb 0.9205 0.0795 0.0000  3 Pm 3.17-3.48, 2 Tb 3.46
7 Pm 0.0443 0.6061 0.7351  2 Tb 3.31-3.48, 3 Pm 3.43-3.64, 2 Ho 3.66-3.69
8 Pm 0.1205 0.2416 0.4792  3 Tb 3.40-3.58, 4 Pm 3.55-3.75, 1 Ho 3.78
9 Pm 0.1992 0.8008 0.2086  1 Tb 3.17, 1 Ho 3.35, 2 Pm 3.52
10 Pm 0.2416 0.1205 0.9792  3 Tb 3.40-3.58, 4 Pm 3.55-3.75, 1 Ho 3.78
11 Pm 0.3939 0.9557 0.7351  2 Tb 3.31-3.48, 3 Pm 3.43-3.64, 2 Ho 3.66-3.69
12 Pm 0.4839 0.5161 0.2322  4 Pm 3.29-3.63, 1 Ho 3.30, 4 Tb 3.56-3.62
13 Pm 0.5161 0.4839 0.7322  4 Pm 3.29-3.63, 1 Ho 3.30, 4 Tb 3.56-3.62
14 Pm 0.6061 0.0443 0.2351  2 Tb 3.31-3.48, 3 Pm 3.43-3.64, 2 Ho 3.66-3.69
15 Pm 0.7584 0.8795 0.4792  3 Tb 3.40-3.58, 4 Pm 3.55-3.75, 1 Ho 3.78
16 Pm 0.8008 0.1992 0.7086  1 Tb 3.17, 1 Ho 3.35, 2 Pm 3.52
17 Pm 0.8795 0.7584 0.9792  3 Tb 3.40-3.58, 4 Pm 3.55-3.75, 1 Ho 3.78
18 Pm 0.9557 0.3939 0.2351  2 Tb 3.31-3.48, 3 Pm 3.43-3.64, 2 Ho 3.66-3.69
19 Ho 0.3412 0.6588 0.4283  4 Pm 3.30-3.66, 2 Tb 3.53
20 Ho 0.6588 0.3412 0.9283  4 Pm 3.30-3.66, 2 Tb 3.53

---

# 11
## CaCo6Ge12 (PBE-GGA)

Data for a geometry-optimized CaCo6Ge12 structure.

Output
Its space group is R-3m. The density of states at the Fermi level comes out at 13.25 states/eV/cell. As for the formation energy: -1.97 eV/f.u.

a b c (Å): 6.9944 6.9944 6.9944
angles (deg): 105.37 105.37 105.37
With the nearest neighbours (Å) after each atom.
Fractional coordinates of all 19 atoms:
1 Ca 0.0000 0.0000 0.0000  6 Ge 3.11
2 Co 0.2832 0.2832 0.7050  7 Ge 2.39-2.56
3 Co 0.2832 0.7050 0.2832  7 Ge 2.39-2.56
4 Co 0.2950 0.7168 0.7168  7 Ge 2.39-2.56
5 Co 0.7050 0.2832 0.2832  7 Ge 2.39-2.56
6 Co 0.7168 0.2950 0.7168  7 Ge 2.39-2.56
7 Co 0.7168 0.7168 0.2950  7 Ge 2.39-2.56
8 Ge 0.1180 0.5000 0.8820  4 Co 2.42-2.56, 3 Ge 2.62-2.70
9 Ge 0.1180 0.8820 0.5000  4 Co 2.42-2.56, 3 Ge 2.62-2.70
10 Ge 0.1462 0.4032 0.4032  3 Co 2.39-2.52
11 Ge 0.4032 0.1462 0.4032  3 Co 2.39-2.52
12 Ge 0.4032 0.4032 0.1462  3 Co 2.39-2.52
13 Ge 0.5000 0.1180 0.8820  4 Co 2.42-2.56, 3 Ge 2.62-2.70
14 Ge 0.5000 0.8820 0.1180  4 Co 2.42-2.56, 3 Ge 2.62-2.70
15 Ge 0.5968 0.5968 0.8538  3 Co 2.39-2.52
16 Ge 0.5968 0.8538 0.5968  3 Co 2.39-2.52
17 Ge 0.8538 0.5968 0.5968  3 Co 2.39-2.52
18 Ge 0.8820 0.1180 0.5000  4 Co 2.42-2.56, 3 Ge 2.62-2.70
19 Ge 0.8820 0.5000 0.1180  4 Co 2.42-2.56, 3 Ge 2.62-2.70

---

Short version: volume = 364 157 117 364 1124 712 143 61 59 673 297 Å³/cell, in the order given.